Compound: Ti2OsW6
Source: Alexandria via LeMat-Bulk
Functional: PBE
Structure: optimized geometry

abc: 6.8996 6.8996 5.3378
angles: 102.13 102.13 38.22
With the nearest neighbours (Å) after each atom.
Fractional coordinates of all 9 atoms:
Ti (0.1035, 0.1035, 0.0031)  6 W 2.68-2.90, 1 Ti 2.69, 1 Os 2.72
Ti (0.8965, 0.8965, 0.9969)  6 W 2.68-2.90, 1 Ti 2.69, 1 Os 2.72
Os (0.0000, 0.0000, 0.5000)  4 W 2.65, 2 Ti 2.72
W (0.2905, 0.2905, 0.8392)  5 W 2.64-2.79, 3 Ti 2.68-2.77
W (0.3082, 0.3082, 0.3559)  6 W 2.64-2.85, 1 Ti 2.90
W (0.4943, 0.4943, 0.7563)  5 W 2.57-2.85, 2 Os 2.65, 2 Ti 2.83
W (0.5057, 0.5057, 0.2437)  5 W 2.57-2.85, 2 Os 2.65, 2 Ti 2.83
W (0.6918, 0.6918, 0.6441)  6 W 2.64-2.85, 1 Ti 2.90
W (0.7095, 0.7095, 0.1608)  5 W 2.64-2.79, 3 Ti 2.68-2.77

Total energy: -11.23 eV per atom
V: 17.03 Å³ per atom
ρ: 15.047 g cm⁻³
Space-group type: C2/m
DFT formation energy: 0.40 eV/atom

---

Compound: Ti2OsW
Source: Alexandria via LeMat-Bulk
Functional: PBE
Structure: optimized geometry

abc: 5.6729 5.6729 5.6729
angles: 102.86 102.86 123.71
With the nearest neighbours (Å) after each atom.
Fractional coordinates of all 8 atoms:
Ti (0.1062, 0.6250, 0.9812)  2 Os 2.50, 2 W 2.68, 2 Ti 2.69
Ti (0.3750, 0.3562, 0.4812)  2 Os 2.50, 2 W 2.68, 2 Ti 2.69
Ti (0.6438, 0.1250, 0.0188)  2 Os 2.50, 2 W 2.68, 2 Ti 2.69
Ti (0.8750, 0.8938, 0.5188)  2 Os 2.50, 2 W 2.68, 2 Ti 2.69
Os (0.0000, 0.0000, 0.0000)  4 Ti 2.50, 2 W 2.68
Os (0.7500, 0.2500, 0.5000)  4 Ti 2.50, 2 W 2.68
W (0.2500, 0.7500, 0.5000)  2 Os 2.68, 4 Ti 2.68
W (0.5000, 0.5000, 0.0000)  2 Os 2.68, 4 Ti 2.68

Total energy: -9.61 eV per atom
V: 16.74 Å³ per atom
ρ: 11.652 g cm⁻³
Space-group type: I-42d
DFT formation energy: 0.39 eV/atom

---

Compound: Zr2TiOsW
Source: Alexandria via LeMat-Bulk
Functional: PBE
Structure: optimized geometry

abc: 5.0340 5.0340 4.7106
angles: 90.00 90.00 90.00
With the nearest neighbours (Å) after each atom.
Fractional coordinates of all 5 atoms:
Zr (0.0000, 0.5000, 0.0000)  2 W 2.52
Zr (0.5000, 0.0000, 0.0000)  2 W 2.52
Ti (0.0000, 0.0000, 0.5000)  8 Zr 3.45, 4 Os 3.56
Os (0.5000, 0.5000, 0.5000)  2 W 2.36
W (0.5000, 0.5000, 0.0000)  2 Os 2.36, 4 Zr 2.52

Total energy: -8.71 eV per atom
V: 23.87 Å³ per atom
ρ: 8.407 g cm⁻³
Space-group type: P4/mmm
DFT formation energy: 1.12 eV/atom

---

Compound: YTiOs4
Source: Alexandria via LeMat-Bulk
Functional: PBE
Structure: optimized geometry

abc: 5.2504 5.2504 5.2504
angles: 60.00 60.00 60.00
With the nearest neighbours (Å) after each atom.
Fractional coordinates of all 6 atoms:
Y (0.0000, 0.0000, 0.0000)  12 Os 3.08, 4 Ti 3.22
Ti (0.7500, 0.7500, 0.7500)  12 Os 3.08, 4 Y 3.22
Os (0.3754, 0.3754, 0.3754)  6 Os 2.62-2.63
Os (0.3754, 0.3754, 0.8738)  6 Os 2.62-2.63
Os (0.3754, 0.8738, 0.3754)  6 Os 2.62-2.63
Os (0.8738, 0.3754, 0.3754)  6 Os 2.62-2.63

Total energy: -10.03 eV per atom
V: 17.06 Å³ per atom
ρ: 14.565 g cm⁻³
Space-group type: F-43m
DFT formation energy: -0.15 eV/atom